1.
A relaxed Li4HoAsO6 crystal, computed with PBE.

abc: 5.3598 5.3598 5.0854
angles: 98.96 98.96 121.28
Closest atoms and distances in Å follow each position.
Atoms (fractional coordinates):
O 0.3886 0.0596 0.7773  1 As 1.88, 2 Li 1.95-2.05
O 0.2439 0.1932 0.2320  1 As 1.90, 2 Li 2.01-2.04
O 0.9404 0.6113 0.2227  1 As 1.88, 2 Li 1.95-2.05
O 0.8068 0.7561 0.7680  1 As 1.90, 2 Li 2.01-2.04
O 0.0997 0.4800 0.7670  1 As 1.89, 1 Li 2.00
O 0.5200 0.9003 0.2330  1 As 1.89, 1 Li 2.00
Li 0.0348 0.9652 0.5000  4 O 1.95-2.04
Li 0.3118 0.6882 0.5000  4 O 2.00-2.05
Li 0.6459 0.3541 0.5000  2 O 2.01
Li 0.5027 0.4973 0.0000  6 O 2.15-2.24
As 0.1676 0.8324 0.0000  6 O 1.88-1.90
Ho 0.8377 0.1623 0.0000  6 O 2.22-2.23

Symmetry = C2 (5)

***

2.
A relaxed Cs2NaZnF6 crystal, computed with PBE.

abc: 5.9504 5.9504 5.9504
angles: 120.19 120.19 89.67
Closest atoms and distances in Å follow each position.
Atoms (fractional coordinates):
F 0.2333 0.2333 0.0000  1 Zn 1.97
F 0.7660 0.2333 0.9993  1 Zn 1.96
F 0.2333 0.2340 0.4673  1 Zn 1.96
F 0.7667 0.7660 0.5327  1 Zn 1.96
F 0.7667 0.7667 0.0000  1 Zn 1.97
F 0.2340 0.7667 0.0007  1 Zn 1.96
Zn 0.0000 0.0000 0.0000  6 F 1.96-1.97
Cs 0.2500 0.7500 0.5000  12 F 2.97-2.98
Cs 0.7500 0.2500 0.5000  12 F 2.97-2.98
Na 0.5000 0.5000 0.0000  6 F 2.23-2.25

Symmetry = I4/mmm (139)

***

3.
A relaxed AlCdGaS4 crystal, computed with PBE.

abc: 7.3901 7.3901 10.3059
angles: 90.00 90.00 90.00
Closest atoms and distances in Å follow each position.
Atoms (fractional coordinates):
S 0.2656 0.0048 0.5101  1 Al 2.29, 1 Ga 2.48
S 0.5122 0.2652 0.7393  1 Al 2.33, 2 Ga 2.47-2.50
S 0.2656 0.9952 0.9899  1 Al 2.29, 1 Ga 2.48
S 0.7348 0.5122 0.9893  1 Al 2.33, 2 Ga 2.47-2.50
S 0.5122 0.7348 0.7607  1 Al 2.33, 2 Ga 2.47-2.50
S 0.9952 0.7344 0.7399  1 Al 2.29, 1 Ga 2.48
S 0.2652 0.5122 0.0107  1 Al 2.33, 2 Ga 2.47-2.50
S 0.7344 0.0048 0.4899  1 Al 2.29, 1 Ga 2.48
S 0.0048 0.7344 0.2601  1 Al 2.29, 1 Ga 2.48
S 0.7348 0.4878 0.5107  1 Al 2.33, 2 Ga 2.47-2.50
S 0.2652 0.4878 0.4893  1 Al 2.33, 2 Ga 2.47-2.50
S 0.4878 0.2652 0.2607  1 Al 2.33, 2 Ga 2.47-2.50
S 0.4878 0.7348 0.2393  1 Al 2.33, 2 Ga 2.47-2.50
S 0.0048 0.2656 0.2399  1 Al 2.29, 1 Ga 2.48
S 0.9952 0.2656 0.7601  1 Al 2.29, 1 Ga 2.48
S 0.7344 0.9952 0.0101  1 Al 2.29, 1 Ga 2.48
Al 0.7396 0.2604 0.1250  4 S 2.29-2.33
Al 0.2604 0.2604 0.8750  4 S 2.29-2.33
Al 0.7396 0.7396 0.3750  4 S 2.29-2.33
Al 0.2604 0.7396 0.6250  4 S 2.29-2.33
Ga 0.2438 0.5000 0.2500  6 S 2.47-2.50
Ga 0.7562 0.5000 0.7500  6 S 2.47-2.50
Ga 0.5000 0.2438 0.5000  6 S 2.47-2.50
Ga 0.5000 0.7562 0.0000  6 S 2.47-2.50
Cd 0.0000 0.7570 0.0000  6 S 2.64-2.69
Cd 0.7570 0.0000 0.7500  6 S 2.64-2.69
Cd 0.0000 0.2430 0.5000  6 S 2.64-2.69
Cd 0.2430 0.0000 0.2500  6 S 2.64-2.69

ΔE to the lowest computed polymorph = 168 meV per atom
Symmetry = P4_122 (91)

***

4.
A relaxed Zr2Ta crystal, computed with PBE.

abc: 5.7304 9.0890 4.9665
angles: 90.00 90.00 90.00
Closest atoms and distances in Å follow each position.
Atoms (fractional coordinates):
Zr 0.5479 0.5070 0.0000  3 Ta 2.94-3.00, 7 Zr 2.99-3.23
Zr 0.2854 0.0070 0.5000  3 Ta 2.94-3.00, 7 Zr 2.99-3.23
Zr 0.2854 0.6597 0.5000  3 Ta 2.94-3.00, 7 Zr 2.99-3.23
Zr 0.0403 0.3333 0.0000  6 Zr 3.06-3.31, 6 Ta 3.07-3.11
Zr 0.5479 0.1597 0.0000  3 Ta 2.94-3.00, 7 Zr 2.99-3.23
Zr 0.3525 0.3333 0.5000  8 Zr 2.99-3.15, 4 Ta 3.17-3.28
Zr 0.4808 0.8333 0.0000  8 Zr 2.99-3.15, 4 Ta 3.17-3.28
Zr 0.7930 0.8333 0.5000  6 Zr 3.06-3.31, 6 Ta 3.07-3.11
Ta 0.9913 0.6702 0.0000  8 Zr 2.94-3.28, 3 Ta 2.96-3.06
Ta 0.9913 0.9964 0.0000  8 Zr 2.94-3.28, 3 Ta 2.96-3.06
Ta 0.8420 0.4964 0.5000  8 Zr 2.94-3.28, 3 Ta 2.96-3.06
Ta 0.8420 0.1702 0.5000  8 Zr 2.94-3.28, 3 Ta 2.96-3.06

ΔH_f (0 K) = 47 kJ/mol of formula units
Symmetry = Pmmn (59)

***

5.
A relaxed Gd2Sc2O5 crystal, computed with PBE.

abc: 7.3197 4.0330 4.0330
angles: 90.00 90.00 90.00
Closest atoms and distances in Å follow each position.
Atoms (fractional coordinates):
O 0.7663 0.5000 0.0000  2 Sc 2.02
O 0.5000 0.5000 0.5000  2 Sc 1.99
O 0.2337 0.5000 0.0000  2 Sc 2.02
O 0.2337 0.0000 0.5000  2 Sc 2.02
O 0.7663 0.0000 0.5000  2 Sc 2.02
Sc 0.2284 0.5000 0.5000  5 O 1.99-2.02
Sc 0.7716 0.5000 0.5000  5 O 1.99-2.02
Gd 0.5000 0.0000 0.0000  12 O 2.80-2.85
Gd 0.0000 0.0000 0.0000  8 O 2.64

ΔE to the lowest computed polymorph = 0 meV per atom
Symmetry = P4/mmm (123)

***

6.
A relaxed ThAlNi crystal, computed with PBE.

abc: 8.1902 8.1902 3.1447
angles: 90.00 90.00 120.00
Closest atoms and distances in Å follow each position.
Atoms (fractional coordinates):
Th 0.3031 0.0000 0.0000  4 Al 2.86-2.94, 4 Ni 3.10, 2 Th 3.14
Th 0.6969 0.6969 0.0000  4 Al 2.86-2.94, 4 Ni 3.10, 2 Th 3.14
Th 0.0000 0.3031 0.0000  4 Al 2.86-2.94, 4 Ni 3.10, 2 Th 3.14
Al 0.3333 0.6667 0.0000  3 Th 2.86, 6 Ni 3.11, 2 Al 3.14
Al 0.6667 0.3333 0.0000  3 Th 2.86, 6 Ni 3.11, 2 Al 3.14
Al 0.0000 0.0000 0.5000  3 Ni 2.82, 6 Th 2.94, 2 Al 3.14
Ni 0.3446 0.3446 0.5000  5 Al 2.82-3.11, 4 Th 3.10, 2 Ni 3.14
Ni 0.0000 0.6554 0.5000  5 Al 2.82-3.11, 4 Th 3.10, 2 Ni 3.14
Ni 0.6554 0.0000 0.5000  5 Al 2.82-3.11, 4 Th 3.10, 2 Ni 3.14

Symmetry = P-62m (189)

***

7.
A relaxed NaHoO3 crystal, computed with PBE.

abc: 5.8300 5.8300 6.0409
angles: 61.15 61.15 60.00
Closest atoms and distances in Å follow each position.
Atoms (fractional coordinates):
O 0.4668 0.7684 0.7309  2 Ho 2.21-2.23, 2 Na 2.34-2.43
O 0.9661 0.5332 0.2691  2 Ho 2.21-2.23, 2 Na 2.34-2.43
O 0.5332 0.2316 0.2691  2 Ho 2.21-2.23, 2 Na 2.34-2.43
O 0.7684 0.0339 0.7309  2 Ho 2.21-2.23, 2 Na 2.34-2.43
O 0.2316 0.9661 0.2691  2 Ho 2.21-2.23, 2 Na 2.34-2.43
O 0.0339 0.4668 0.7309  2 Ho 2.21-2.23, 2 Na 2.34-2.43
Na 0.6383 0.6383 0.0852  6 O 2.34-2.43
Na 0.3617 0.3617 0.9148  6 O 2.34-2.43
Ho 0.1439 0.1439 0.5682  6 O 2.21-2.23
Ho 0.8561 0.8561 0.4318  6 O 2.21-2.23

Symmetry = R-3 (148)

***

8.
A relaxed SmTcOs crystal, computed with PBE.

abc: 4.5216 4.5216 4.5216
angles: 60.00 60.00 60.00
Closest atoms and distances in Å follow each position.
Atoms (fractional coordinates):
Sm 0.0000 0.0000 0.0000  4 Tc 2.77, 4 Os 2.77
Tc 0.7500 0.7500 0.7500  4 Sm 2.77
Os 0.2500 0.2500 0.2500  4 Sm 2.77

ΔE to the lowest computed polymorph = 1727 meV per atom
ΔH_f (0 K) = 461 kJ/mol of formula units
Symmetry = F-43m (216)

***

Values for final energy, eV per cell, ordered as above
-72.277; -38.833; -115.316; -113.856; -73.096; -49.188; -59.507; -21.515